Computed, not measured: crystalline CsNiPbF6 at its relaxed geometry at the PBE with a Hubbard U level of DFT.

Cell lengths 5.8463, 10.0284, 6.4233 Å; angles 90.00, 90.45, 90.00 degrees
With the nearest neighbours (Å) after each atom.
Space group C2 (No. 5)
Asymmetric unit:
Cs1 0.0000 0.0000 0.0000  6 F 3.01-3.03
Ni1 0.0000 0.6677 0.5000  6 F 2.04
Pb1 0.0000 0.3330 0.5000  6 F 2.28-2.29
F1 0.1208 0.5159 0.6817  1 Ni 2.04, 1 Pb 2.28
F2 0.1697 0.8026 0.6824  1 Ni 2.04
F3 0.2174 0.1835 0.6836  1 Ni 2.04, 1 Pb 2.29

The total DFT energy (no corrections) comes out at -4.315 eV per atom.